[1]
Li2Ac2Rh15 (PBE-GGA, optimized geometry); uncorrected energy = -6.658 eV/atom; density = 10.518 g/cm³; ΔH_f (0 K) = -220.6 meV/atom; space group = R-3m; total magnetization = 0.0 Bohr magnetons per cell
1.0
4.573 2.640 4.383
-4.573 2.640 4.383
0.000 -5.281 4.383
Li Ac Rh
2 2 15
Direct
0.096 0.096 0.096 Li
0.904 0.904 0.904 Li
0.343 0.343 0.343 Ac
0.657 0.657 0.657 Ac
0.000 0.000 0.500 Rh
0.000 0.295 0.705 Rh
0.000 0.500 0.000 Rh
0.000 0.705 0.295 Rh
0.149 0.652 0.652 Rh
0.295 0.000 0.705 Rh
0.295 0.705 0.000 Rh
0.348 0.348 0.851 Rh
0.348 0.851 0.348 Rh
0.500 0.000 0.000 Rh
0.652 0.149 0.652 Rh
0.652 0.652 0.149 Rh
0.705 0.000 0.295 Rh
0.705 0.295 0.000 Rh
0.851 0.348 0.348 Rh

---

[2]
Pa2Ni3P4Os (PBE-GGA, optimized geometry); uncorrected energy = -7.751 eV/atom; density = 10.557 g/cm³; ΔH_f (0 K) = -830.5 meV/atom; space group = P-4m2; total magnetization = 0.0 Bohr magnetons per cell
1.0
4.092 0.000 0.000
0.000 4.092 0.000
0.000 0.000 8.945
Pa Ni P Os
2 3 4 1
Direct
0.000 0.500 0.240 Pa
0.500 0.000 0.760 Pa
0.000 0.500 0.888 Ni
0.500 0.000 0.112 Ni
0.500 0.500 0.500 Ni
0.000 0.000 0.000 P
0.000 0.500 0.638 P
0.500 0.000 0.362 P
0.500 0.500 0.000 P
0.000 0.000 0.500 Os

---

[3]
Cs2CrSnCl6 (PBE-GGA, optimized geometry); uncorrected energy = -4.058 eV/atom; density = 3.552 g/cm³; space group = I4/mmm; raw formation energy = -14.16 eV per formula unit; total magnetization = 4.0 Bohr magnetons per cell
1.0
-3.770 3.770 5.339
3.770 -3.770 5.339
3.770 3.770 -5.339
Cs Cr Sn Cl
2 1 1 6
Direct
0.250 0.750 0.500 Cs
0.750 0.250 0.500 Cs
0.000 0.000 0.000 Cr
0.500 0.500 0.000 Sn
0.235 0.235 0.000 Cl
0.235 0.235 0.469 Cl
0.235 0.765 0.000 Cl
0.765 0.235 0.000 Cl
0.765 0.765 0.000 Cl
0.765 0.765 0.531 Cl

---

[4]
ZrGaAu (PBE-GGA, optimized geometry); uncorrected energy = -5.503 eV/atom; density = 10.652 g/cm³; ΔH_f (0 K) = -552.7 meV/atom; space group = Pmmm; total magnetization = 0.0 Bohr magnetons per cell
1.0
3.161 0.000 0.000
0.000 4.457 0.000
0.000 0.000 7.921
Zr Ga Au
2 2 2
Direct
0.000 0.000 0.000 Zr
0.000 0.500 0.500 Zr
0.500 0.000 0.337 Ga
0.500 0.000 0.663 Ga
0.500 0.500 0.173 Au
0.500 0.500 0.827 Au

---

[5]
PrTh2Ga (PBE-GGA, optimized geometry); uncorrected energy = -5.819 eV/atom; density = 9.733 g/cm³; ΔH_f (0 K) = -157.9 meV/atom; space group = P4/mmm; offset from the most stable computed form = 0 meV/atom; total magnetization = 0.0 Bohr magnetons per cell
1.0
4.837 0.000 0.000
0.000 4.837 0.000
0.000 0.000 4.920
Pr Th Ga
1 2 1
Direct
0.000 0.000 0.000 Pr
0.000 0.500 0.500 Th
0.500 0.000 0.500 Th
0.500 0.500 0.000 Ga

---

[6]
Nd5In4I (PBE-GGA, optimized geometry); uncorrected energy = -4.185 eV/atom; density = 7.328 g/cm³; space group = P4/mmm; raw formation energy = -5.50 eV per formula unit; total magnetization = 0.0 Bohr magnetons per cell
1.0
3.699 0.000 0.000
0.000 3.699 0.000
0.000 0.000 21.653
Nd In I
5 4 1
Direct
0.000 0.000 0.000 Nd
0.000 0.000 0.196 Nd
0.000 0.000 0.390 Nd
0.000 0.000 0.610 Nd
0.000 0.000 0.804 Nd
0.500 0.500 0.099 In
0.500 0.500 0.298 In
0.500 0.500 0.702 In
0.500 0.500 0.901 In
0.500 0.500 0.500 I